Record 1
Entry from the Alexandria database: crystalline BaCa3Ac12 at its relaxed geometry (GGA-PBE).

## Properties
- VASP energy (eV/atom) = -3.533
- energy relative to the elements (eV per atom) = 0.04

abc: 5.637 5.637 22.577
angles: 90.00 90.00 90.00
Space group P4/mmm (No. 123)
Inequivalent atoms, fractional coordinates:
Ba: 0.000 0.000 0.000 (multiplicity 1)
Ca: 0.000 0.000 0.253 (multiplicity 2)
Ca: 0.000 0.000 0.500 (multiplicity 1)
Ac: 0.000 0.500 0.130 (multiplicity 4)
Ac: 0.000 0.500 0.377 (multiplicity 4)
Ac: 0.500 0.500 0.000 (multiplicity 1)
Ac: 0.500 0.500 0.254 (multiplicity 2)
Ac: 0.500 0.500 0.500 (multiplicity 1)



Record 2
Entry from the Alexandria database: crystalline BaCa2Ac at its relaxed geometry (GGA-PBE).

## Properties
- VASP energy (eV/atom) = -2.457
- energy relative to the elements (eV per atom) = 0.05

abc: 4.0159 4.0159 39.9104
angles: 90.00 90.00 120.00
Space group R3m (No. 160, hexagonal axes)
Inequivalent atoms, fractional coordinates:
Ba: 0.0000 0.0000 0.0000 (multiplicity 3)
Ca: 0.0000 0.0000 0.2471 (multiplicity 3)
Ca: 0.0000 0.0000 0.4195 (multiplicity 3)
Ac: 0.0000 0.0000 0.8330 (multiplicity 3)



Record 3
Entry from the Alexandria database: crystalline BaCa6Ac12 at its relaxed geometry (GGA-PBE).

## Properties
- VASP energy (eV/atom) = -3.270
- energy relative to the elements (eV per atom) = 0.06

abc: 17.3351 17.3351 9.7442
angles: 90.00 90.00 120.00
Space group R-3 (No. 148, hexagonal axes)
Inequivalent atoms, fractional coordinates:
Ba: 0.0000 0.0000 0.0000 (multiplicity 3)
Ca: 0.0354 0.7544 0.3319 (multiplicity 18)
Ac: 0.0192 0.8787 0.6647 (multiplicity 18)
Ac: 0.0682 0.5078 0.6639 (multiplicity 18)



Record 4
Entry from the Alexandria database: crystalline Ba4CaAc2 at its relaxed geometry (GGA-PBE).

## Properties
- VASP energy (eV/atom) = -2.503
- energy relative to the elements (eV per atom) = 0.06

abc: 4.2173 4.2173 72.9677
angles: 90.00 90.00 120.00
Space group R-3m (No. 166, hexagonal axes)
Inequivalent atoms, fractional coordinates:
Ba: 0.0000 0.0000 0.0984 (multiplicity 6)
Ba: 0.0000 0.0000 0.3800 (multiplicity 6)
Ca: 0.0000 0.0000 0.0000 (multiplicity 3)
Ac: 0.0000 0.0000 0.1877 (multiplicity 6)



Record 5
Entry from the Alexandria database: crystalline Ba4Ca5Ac at its relaxed geometry (GGA-PBE).

## Properties
- VASP energy (eV/atom) = -2.143
- energy relative to the elements (eV per atom) = 0.04

abc: 4.532 4.532 24.643
angles: 90.00 90.00 90.00
Space group P4/mmm (No. 123)
Inequivalent atoms, fractional coordinates:
Ba: 0.000 0.000 0.103 (multiplicity 2)
Ba: 0.000 0.000 0.312 (multiplicity 2)
Ca: 0.500 0.500 0.000 (multiplicity 1)
Ca: 0.500 0.500 0.207 (multiplicity 2)
Ca: 0.500 0.500 0.412 (multiplicity 2)
Ac: 0.000 0.000 0.500 (multiplicity 1)



Record 6
Entry from the Alexandria database: crystalline Ba2Ca6Ac at its relaxed geometry (GGA-PBE).

## Properties
- VASP energy (eV/atom) = -2.141
- energy relative to the elements (eV per atom) = 0.08

abc: 3.9969 3.9969 30.2062
angles: 90.00 90.00 120.00
Space group P-6m2 (No. 187)
Inequivalent atoms, fractional coordinates:
Ba: 0.0000 0.0000 0.1736 (multiplicity 2)
Ca: 0.0000 0.0000 0.3939 (multiplicity 2)
Ca: 0.6667 0.3333 0.0601 (multiplicity 2)
Ca: 0.6667 0.3333 0.2889 (multiplicity 2)
Ac: 0.6667 0.3333 0.5000 (multiplicity 1)



Record 7
Entry from the Alexandria database: crystalline Ba5Ca6Ac at its relaxed geometry (GGA-PBE).

## Properties
- VASP energy (eV/atom) = -2.102
- energy relative to the elements (eV per atom) = 0.04

abc: 6.573 9.384 19.690
angles: 90.00 90.00 90.00
Space group Immm (No. 71)
Inequivalent atoms, fractional coordinates:
Ba: 0.000 0.000 0.000 (multiplicity 2)
Ba: 0.000 0.000 0.332 (multiplicity 4)
Ba: 0.000 0.500 0.336 (multiplicity 4)
Ca: 0.000 0.233 0.500 (multiplicity 4)
Ca: 0.000 0.259 0.163 (multiplicity 8)
Ac: 0.000 0.500 0.000 (multiplicity 2)



Record 8
Entry from the Alexandria database: crystalline BaCa4Ac2 at its relaxed geometry (GGA-PBE).

## Properties
- VASP energy (eV/atom) = -2.554
- energy relative to the elements (eV per atom) = 0.04

abc: 3.9995 3.9995 69.2672
angles: 90.00 90.00 120.00
Space group R-3m (No. 166, hexagonal axes)
Inequivalent atoms, fractional coordinates:
Ba: 0.0000 0.0000 0.0000 (multiplicity 3)
Ca: 0.0000 0.0000 0.0964 (multiplicity 6)
Ca: 0.0000 0.0000 0.3838 (multiplicity 6)
Ac: 0.0000 0.0000 0.1894 (multiplicity 6)



Record 9
Entry from the Alexandria database: crystalline BaCaAc4 at its relaxed geometry (GGA-PBE).

## Properties
- VASP energy (eV/atom) = -3.355
- energy relative to the elements (eV per atom) = 0.04

abc: 5.709 17.302 5.725
angles: 90.00 90.00 90.00
Space group Cmmm (No. 65)
Inequivalent atoms, fractional coordinates:
Ba: 0.000 0.000 0.000 (multiplicity 2)
Ca: 0.000 0.500 0.500 (multiplicity 2)
Ac: 0.000 0.173 0.500 (multiplicity 4)
Ac: 0.000 0.325 0.000 (multiplicity 4)



Record 10
Entry from the Alexandria database: crystalline BaCa6Ac2 at its relaxed geometry (GGA-PBE).

## Properties
- VASP energy (eV/atom) = -2.391
- energy relative to the elements (eV per atom) = 0.07

abc: 3.9425 3.9425 29.8771
angles: 90.00 90.00 120.00
Space group P-6m2 (No. 187)
Inequivalent atoms, fractional coordinates:
Ba: 0.0000 0.0000 0.0000 (multiplicity 1)
Ca: 0.0000 0.0000 0.2223 (multiplicity 2)
Ca: 0.0000 0.0000 0.4385 (multiplicity 2)
Ca: 0.3333 0.6667 0.1158 (multiplicity 2)
Ac: 0.3333 0.6667 0.3305 (multiplicity 2)



Record 11
Entry from the Alexandria database: crystalline Ba2CaAc2 at its relaxed geometry (GGA-PBE).

## Properties
- VASP energy (eV/atom) = -2.766
- energy relative to the elements (eV per atom) = 0.05

abc: 4.117 4.117 29.955
angles: 90.00 90.00 90.00
Space group I4/mmm (No. 139)
Inequivalent atoms, fractional coordinates:
Ba: 0.000 0.000 0.103 (multiplicity 4)
Ca: 0.000 0.000 0.500 (multiplicity 2)
Ac: 0.000 0.000 0.293 (multiplicity 4)



Record 12
Entry from the Alexandria database: crystalline Ba2Ca4Ac at its relaxed geometry (GGA-PBE).

## Properties
- VASP energy (eV/atom) = -2.177
- energy relative to the elements (eV per atom) = 0.10

abc: 3.9791 3.9791 72.0960
angles: 90.00 90.00 120.00
Space group R-3m (No. 166, hexagonal axes)
Inequivalent atoms, fractional coordinates:
Ba: 0.0000 0.0000 0.2366 (multiplicity 6)
Ca: 0.0000 0.0000 0.1446 (multiplicity 6)
Ca: 0.0000 0.0000 0.2886 (multiplicity 6)
Ac: 0.0000 0.0000 0.0000 (multiplicity 3)